Entry 1:
Compound: TmGa2Co5
Source: Alexandria
Functional: GGA-PBE
Structure: optimized geometry

```
data_TmGa2Co5
_chemical_formula_sum 'Tm2 Ga4 Co10'
_symmetry_space_group_name_H-M 'I m m m'
_symmetry_Int_Tables_number 71
_symmetry_space_group_name_Hall '-I 2 2'
_cell_length_a 3.5896
_cell_length_b 6.6650
_cell_length_c 9.4425
_cell_angle_alpha 90.00
_cell_angle_beta 90.00
_cell_angle_gamma 90.00
loop_
_atom_site_label
_atom_site_type_symbol
_atom_site_fract_x
_atom_site_fract_y
_atom_site_fract_z
_atom_site_occupancy
Tm1 Tm 0.0000 0.0000 0.0000 1
Ga1 Ga 0.0000 0.5000 0.2523 1
Co1 Co 0.0000 0.1839 0.3743 1
Co2 Co 0.0000 0.5000 0.0000 1
```

Summary:
Formation energy from the elements = -0.13 eV/atom
N(E_F) = 1.18 states/eV per atom

***

Entry 2:
Compound: LaCrIn2
Source: Alexandria
Functional: GGA-PBE
Structure: optimized geometry

```
data_LaCrIn2
_chemical_formula_sum 'La1 Cr1 In2'
_symmetry_space_group_name_H-M 'P 1 m 1'
_symmetry_Int_Tables_number 6
_cell_length_a 3.4375
_cell_length_b 4.7404
_cell_length_c 6.3500
_cell_angle_alpha 90.00
_cell_angle_beta 90.21
_cell_angle_gamma 90.00
loop_
_symmetry_equiv_pos_as_xyz
'x,y,z'
'x,-y,z'
loop_
_atom_site_label
_atom_site_type_symbol
_atom_site_fract_x
_atom_site_fract_y
_atom_site_fract_z
_atom_site_occupancy
La1 La 0.0000 0.0000 0.0000 1
Cr1 Cr 0.9957 0.5000 0.3871 1
In1 In 0.4977 0.0000 0.4730 1
In2 In 0.4986 0.5000 0.7673 1
```

Summary:
Formation energy from the elements = 0.06 eV/atom
N(E_F) = 0.63 states/eV per atom

***

Entry 3:
Compound: La6SiGe2Te3
Source: Alexandria
Functional: GGA-PBE
Structure: optimized geometry

```
data_La6SiGe2Te3
_chemical_formula_sum 'La12 Si2 Ge4 Te6'
_symmetry_space_group_name_H-M 'C 1 2/m 1'
_symmetry_Int_Tables_number 12
_cell_length_a 19.7999
_cell_length_b 4.4864
_cell_length_c 9.1095
_cell_angle_alpha 90.00
_cell_angle_beta 104.54
_cell_angle_gamma 90.00
loop_
_symmetry_equiv_pos_as_xyz
'x,y,z'
'-x,-y,-z'
'-x,y,-z'
'x,-y,z'
'x+1/2,y+1/2,z'
'-x+1/2,-y+1/2,-z'
'-x+1/2,y+1/2,-z'
'x+1/2,-y+1/2,z'
loop_
_atom_site_label
_atom_site_type_symbol
_atom_site_fract_x
_atom_site_fract_y
_atom_site_fract_z
_atom_site_occupancy
La1 La 0.0052 0.0000 0.2347 1
La2 La 0.1605 0.5000 0.0960 1
La3 La 0.1719 0.5000 0.5696 1
Si1 Si 0.0000 0.5000 0.0000 1
Ge1 Ge 0.1666 0.0000 0.3329 1
Te1 Te 0.0000 0.5000 0.5000 1
Te2 Te 0.1669 0.0000 0.8332 1
```

Summary:
ΔE_f (raw) = -1.244 eV per atom
N(E_F) = 0.31 states/eV per atom

***

Entry 4:
Compound: ZnAu2Se
Source: Alexandria
Functional: GGA-PBE
Structure: optimized geometry

```
data_ZnAu2Se
_chemical_formula_sum 'Zn2 Au4 Se2'
_symmetry_space_group_name_H-M 'C 1 2/m 1'
_symmetry_Int_Tables_number 12
_cell_length_a 7.7900
_cell_length_b 3.5608
_cell_length_c 5.7752
_cell_angle_alpha 90.00
_cell_angle_beta 105.15
_cell_angle_gamma 90.00
loop_
_symmetry_equiv_pos_as_xyz
'x,y,z'
'-x,-y,-z'
'-x,y,-z'
'x,-y,z'
'x+1/2,y+1/2,z'
'-x+1/2,-y+1/2,-z'
'-x+1/2,y+1/2,-z'
'x+1/2,-y+1/2,z'
loop_
_atom_site_label
_atom_site_type_symbol
_atom_site_fract_x
_atom_site_fract_y
_atom_site_fract_z
_atom_site_occupancy
Zn1 Zn 0.0000 0.0000 0.0000 1
Au1 Au 0.2434 0.5000 0.2152 1
Se1 Se 0.0000 0.5000 0.5000 1
```

Summary:
ΔE_f (raw) = 0.011 eV per atom
N(E_F) = 0.25 states/eV per atom